1.
This record from Alexandria describes LiRePb2Se after structural relaxation. The functional is PBE-GGA.

Calculated values
Volume: 28.42 Å³ per atom
Density of states at the Fermi level: 0.694 states/eV/atom
E: -4.1217 eV/atom
Space group: P4/mmm, No. 123
Crystal system: tetragonal
Size of the total moment: 0.650 μB per atom
Energy relative to the elements, uncorrected: 449 kJ/mol of formula units

The structure in POSCAR format:
```
LiRePb2Se
1.0
-4.575 3.464 -0.113
-0.533 -0.564 4.242
3.393 4.514 1.027
Pb Re Se Li
2 1 1 1
direct
0.000 0.000 0.500
0.500 0.000 0.000
0.500 0.500 0.500
0.000 0.000 0.000
0.000 0.500 0.000
```

=====

2.
This record from Alexandria describes CuSiMo2 after structural relaxation. The functional is PBE-GGA.

Calculated values
Volume: 14.18 Å³ per atom
Density of states at the Fermi level: 0.823 states/eV/atom
E: -7.7242 eV/atom
Space group: I4/mmm, No. 139
Crystal system: tetragonal
Size of the total moment: 0.000 μB per atom
Energy relative to the elements, uncorrected: 27 kJ/mol of formula units

The structure in POSCAR format:
```
CuSiMo2
1.0
4.796 -0.014 0.000
1.841 4.429 0.000
-3.319 -2.207 2.668
Cu Mo Si
1 2 1
direct
0.750 0.250 0.500
0.000 0.000 0.000
0.500 0.500 0.000
0.250 0.750 0.500
```

=====

3.
This record from Alexandria describes Li2SeO3F after structural relaxation. The functional is PBE-GGA.

Calculated values
Volume: 11.52 Å³ per atom
Density of states at the Fermi level: 0.320 states/eV/atom
E: -4.9756 eV/atom
Space group: R-3m, No. 166
Crystal system: trigonal
Size of the total moment: 0.095 μB per atom
Energy relative to the elements, uncorrected: -1039 kJ/mol of formula units

The structure in POSCAR format:
```
Li2SeO3F
1.0
-2.095 -2.862 5.256
1.332 -5.987 1.608
3.674 -1.677 4.888
Li Se O F
4 2 6 2
direct
0.000 0.000 0.000
0.500 0.000 0.000
0.000 0.500 0.000
0.000 0.000 0.500
0.379 0.379 0.379
0.621 0.621 0.621
0.272 0.741 0.741
0.741 0.272 0.741
0.741 0.741 0.272
0.728 0.259 0.259
0.259 0.728 0.259
0.259 0.259 0.728
0.784 0.784 0.784
0.216 0.216 0.216
```